Entry 1:
First-principles (GGA-PBE) data for an optimized crystal structure of HoGa2Pt, as listed in Alexandria.

Properties
- Total DFT energy (no corrections): -4.859 eV/atom
- DOS at the Fermi energy: 0.769 states/eV per atom
- Energy of formation: -2.8 eV/f.u.

a = 4.411 Å, b = 4.126 Å, c = 4.126 Å
α = 90.00°, β = 90.00°, γ = 90.00°
Atoms (fractional coordinates):
Ga 0.000 0.500 0.000
Pt 0.500 0.000 0.000
Ho 0.500 0.500 0.500
Ga 0.000 0.000 0.500



Entry 2:
First-principles (GGA-PBE) data for an optimized crystal structure of SrTlAg2, as listed in Alexandria.

Properties
- Total DFT energy (no corrections): -2.571 eV/atom
- DOS at the Fermi energy: 0.481 states/eV per atom
- Energy of formation: -0.5 eV/f.u.

a = 5.803 Å, b = 5.803 Å, c = 5.803 Å
α = 137.44°, β = 126.06°, γ = 71.02°
Atoms (fractional coordinates):
Ag 0.989 0.989 0.000
Tl 0.226 0.726 0.500
Sr 0.505 0.505 0.000
Ag 0.780 0.280 0.500



Entry 3:
First-principles (GGA-PBE) data for an optimized crystal structure of PaSCl, as listed in Alexandria.

Properties
- Total DFT energy (no corrections): -6.650 eV/atom
- Polymorph energy (0 for the lowest one): 31 kJ/mol of formula units
- DOS at the Fermi energy: 1.205 states/eV per atom

a = 3.454 Å, b = 3.454 Å, c = 7.092 Å
α = 104.09°, β = 104.09°, γ = 90.00°
Atoms (fractional coordinates):
S 0.055 0.055 0.109
Pa 0.656 0.656 0.311
Cl 0.290 0.290 0.579



Entry 4:
First-principles (GGA-PBE) data for an optimized crystal structure of Zr2MnZnSe, as listed in Alexandria.

Properties
- Total DFT energy (no corrections): -5.471 eV/atom
- DOS at the Fermi energy: 1.281 states/eV per atom

a = 4.964 Å, b = 4.964 Å, c = 4.492 Å
α = 90.00°, β = 90.00°, γ = 90.00°
Atoms (fractional coordinates):
Zn 0.000 0.000 0.500
Mn 0.500 0.500 0.500
Se 0.000 0.000 0.000
Zr 0.000 0.500 0.000
Zr 0.500 0.000 0.000



Entry 5:
First-principles (GGA-PBE) data for an optimized crystal structure of LuInCoRh, as listed in Alexandria.

Properties
- Total DFT energy (no corrections): -5.912 eV/atom
- DOS at the Fermi energy: 0.249 states/eV per atom
- Energy of formation: -1.9 eV/f.u.

a = 4.574 Å, b = 4.574 Å, c = 4.574 Å
α = 60.00°, β = 60.00°, γ = 60.00°
Atoms (fractional coordinates):
In 0.000 0.000 0.000
Co 0.250 0.250 0.250
Rh 0.750 0.750 0.750
Lu 0.500 0.500 0.500



Entry 6:
First-principles (GGA-PBE) data for an optimized crystal structure of LaCoPt, as listed in Alexandria.

Properties
- Total DFT energy (no corrections): -5.727 eV/atom
- DOS at the Fermi energy: 1.650 states/eV per atom
- Energy of formation: 0.9 eV/f.u.

a = 4.613 Å, b = 4.613 Å, c = 4.613 Å
α = 60.00°, β = 60.00°, γ = 60.00°
Atoms (fractional coordinates):
La 0.750 0.750 0.750
Co 0.500 0.500 0.500
Pt 0.000 0.000 0.000



Entry 7:
First-principles (GGA-PBE) data for an optimized crystal structure of ThZrNi2Ge2, as listed in Alexandria.

Properties
- Total DFT energy (no corrections): -6.877 eV/atom
- DOS at the Fermi energy: 0.890 states/eV per atom
- Energy of formation: -4.5 eV/f.u.

a = 4.190 Å, b = 4.190 Å, c = 7.145 Å
α = 90.00°, β = 90.00°, γ = 120.00°
Atoms (fractional coordinates):
Th 0.000 0.000 0.000
Ge 0.667 0.333 0.723
Ni 0.667 0.333 0.311
Ge 0.333 0.667 0.277
Ni 0.333 0.667 0.689
Zr 0.000 0.000 0.500



Entry 8:
First-principles (GGA-PBE) data for an optimized crystal structure of NbRuRh2N, as listed in Alexandria.

Properties
- Total DFT energy (no corrections): -7.408 eV/atom
- DOS at the Fermi energy: 1.457 states/eV per atom

a = 4.865 Å, b = 3.581 Å, c = 4.865 Å
α = 90.00°, β = 90.00°, γ = 90.00°
Atoms (fractional coordinates):
N 0.000 0.500 0.000
Rh 0.500 0.000 0.000
Ru 0.000 0.000 0.000
Nb 0.500 0.500 0.500
Rh 0.000 0.000 0.500



Entry 9:
First-principles (GGA-PBE) data for an optimized crystal structure of LaHf2Ta, as listed in Alexandria.

Properties
- Total DFT energy (no corrections): -8.854 eV/atom
- Polymorph energy (0 for the lowest one): 47 kJ/mol of formula units
- DOS at the Fermi energy: 1.210 states/eV per atom
- Energy of formation: 1.3 eV/f.u.

a = 3.148 Å, b = 3.148 Å, c = 11.269 Å
α = 81.97°, β = 81.97°, γ = 60.00°
Atoms (fractional coordinates):
Hf 0.904 0.904 0.286
Hf 0.096 0.096 0.714
Ta 0.500 0.500 0.500
La 0.000 0.000 0.000



Entry 10:
First-principles (GGA-PBE) data for an optimized crystal structure of LiCe2HoIn4, as listed in Alexandria.

Properties
- Total DFT energy (no corrections): -4.018 eV/atom
- DOS at the Fermi energy: 1.727 states/eV per atom
- Energy of formation: -2.8 eV/f.u.

a = 5.280 Å, b = 5.280 Å, c = 9.311 Å
α = 73.53°, β = 73.53°, γ = 60.00°
Atoms (fractional coordinates):
In 0.623 0.623 0.130
In 0.377 0.377 0.870
Ce 0.754 0.754 0.739
Ce 0.246 0.246 0.261
In 0.126 0.126 0.621
In 0.874 0.874 0.379
Li 0.500 0.500 0.500
Ho 0.000 0.000 0.000



Entry 11:
First-principles (GGA-PBE) data for an optimized crystal structure of CaBiTeN2, as listed in Alexandria.

Properties
- Total DFT energy (no corrections): -4.366 eV/atom
- Polymorph energy (0 for the lowest one): 0 kJ/mol of formula units
- DOS at the Fermi energy: 0.696 states/eV per atom

a = 4.470 Å, b = 4.470 Å, c = 6.312 Å
α = 90.00°, β = 90.00°, γ = 90.00°
Atoms (fractional coordinates):
N 0.500 0.000 0.000
Te 0.000 0.000 0.500
N 0.000 0.500 0.000
Bi 0.000 0.000 0.000
Ca 0.500 0.500 0.500



Entry 12:
First-principles (GGA-PBE) data for an optimized crystal structure of K2LiAg, as listed in Alexandria.

Properties
- Total DFT energy (no corrections): -1.698 eV/atom
- Polymorph energy (0 for the lowest one): 0 kJ/mol of formula units
- DOS at the Fermi energy: 0.444 states/eV per atom
- Energy of formation: 0.2 eV/f.u.

a = 3.883 Å, b = 3.880 Å, c = 10.020 Å
α = 90.00°, β = 90.00°, γ = 90.00°
Atoms (fractional coordinates):
Li 0.000 0.000 0.596
K 0.000 0.000 0.919
K 0.500 0.500 0.318
Ag 0.500 0.500 0.667